{
  "formula": "BPdBr2",
  "functional": "PBE",
  "state": "relaxed",
  "lattice": [[1.724, 0.995, 7.859], [-1.724, 0.995, 7.859], [0.000, -1.991, 7.859]],
  "species": ["B", "Pd", "Br", "Br"],
  "fractional_positions": [[0.000, 0.000, 0.000], [0.500, 0.500, 0.500], [0.396, 0.396, 0.396], [0.604, 0.604, 0.604]],
  "spacegroup": "R-3m (166)",
  "mass_density_g_cm3": 5.69,
  "magmom_total_mub_per_atom": 0.00,
  "raw_formation_energy_kj_per_mol_atoms": 83.7,
  "dos_ef_per_ev_fu": 4.3,
  "vol_a3_per_atom": 20.2
}